First-principles (PBE) data for crystalline Mn2AlRu at its relaxed geometry, as listed in the Alexandria database.

Results
**Symmetry**: P4/mmm
**Electronic total energy**: -7.968 eV per atom
**D(E_F)**: 3.1 states/eV/f.u.

Geometry as extended XYZ:
```
4
Lattice="3.954 0.000 0.000 0.000 3.645 0.000 0.000 0.000 3.645" Properties=species:S:1:pos:R:3 pbc="T T T"
Ru 1.977 1.822 0.000
Mn 0.000 0.000 0.000
Mn 0.000 1.822 1.822
Al 1.977 0.000 1.822
```